(1)
Mn5Fe2BC2 PBE-GGA optimized geometry; calculated formation energy = -1.946 kcal/mol of atoms; M_tot = 0.1 μB/f.u.; SG = Pnma, No. 62; uncorrected energy = -8.874 eV/atom
1.0
4.423 0.000 0.000
0.000 6.781 0.000
0.000 0.000 11.987
Mn Fe B C
20 8 4 8
Direct
0.046 0.061 0.194 Mn
0.046 0.439 0.194 Mn
0.223 0.750 0.096 Mn
0.250 0.061 0.978 Mn
0.250 0.439 0.978 Mn
0.250 0.561 0.478 Mn
0.250 0.939 0.478 Mn
0.277 0.250 0.596 Mn
0.454 0.561 0.694 Mn
0.454 0.939 0.694 Mn
0.546 0.061 0.306 Mn
0.546 0.439 0.306 Mn
0.723 0.750 0.404 Mn
0.750 0.061 0.522 Mn
0.750 0.439 0.522 Mn
0.750 0.561 0.022 Mn
0.750 0.939 0.022 Mn
0.777 0.250 0.904 Mn
0.954 0.561 0.806 Mn
0.954 0.939 0.806 Mn
0.049 0.250 0.371 Fe
0.216 0.750 0.302 Fe
0.284 0.250 0.802 Fe
0.451 0.750 0.871 Fe
0.549 0.250 0.129 Fe
0.716 0.750 0.198 Fe
0.784 0.250 0.698 Fe
0.951 0.750 0.629 Fe
0.044 0.750 0.940 B
0.456 0.250 0.440 B
0.544 0.750 0.560 B
0.956 0.250 0.060 B
0.042 0.024 0.647 C
0.042 0.476 0.647 C
0.458 0.524 0.147 C
0.458 0.976 0.147 C
0.542 0.024 0.853 C
0.542 0.476 0.853 C
0.958 0.524 0.353 C
0.958 0.976 0.353 C

---

(2)
DyB2Ir3 PBE-GGA optimized geometry; distance to the lowest polymorph of the same formula = 0 meV per atom; calculated formation energy = -15.796 kcal/mol of atoms; M_tot = 0.0 μB/f.u.; SG = P6/mmm, No. 191; uncorrected energy = -8.108 eV/atom
1.0
5.470 0.000 0.000
-2.735 4.737 0.000
0.000 0.000 3.151
Dy B Ir
1 2 3
Direct
0.000 0.000 0.000 Dy
0.333 0.667 0.000 B
0.667 0.333 0.000 B
0.000 0.500 0.500 Ir
0.500 0.000 0.500 Ir
0.500 0.500 0.500 Ir

---

(3)
K2SrGa2 PBE-GGA optimized geometry; calculated formation energy = 0.388 kcal/mol of atoms; M_tot = 0.1 μB/f.u.; SG = P4/mbm, No. 127; uncorrected energy = -1.969 eV/atom
1.0
8.189 0.000 0.000
0.000 8.189 0.000
0.000 0.000 5.935
K Sr Ga
4 2 4
Direct
0.172 0.328 0.000 K
0.328 0.828 0.000 K
0.672 0.172 0.000 K
0.828 0.672 0.000 K
0.000 0.000 0.500 Sr
0.500 0.500 0.500 Sr
0.107 0.607 0.500 Ga
0.393 0.107 0.500 Ga
0.607 0.893 0.500 Ga
0.893 0.393 0.500 Ga